Computed, not measured: a relaxed structure of LiAcErAl at the PBE level of DFT.

M_tot ... 0.00 μB/cell
Energy of formation from the pure elements ... -0.120 eV per atom
E ... -3.702 eV per atom

Cell: 5.387 5.387 5.387 Å, 60.00 60.00 60.00°
Element x y z (fractional)
Li  0.000  0.000  0.000
Ac  0.250  0.250  0.250
Er  0.750  0.750  0.750
Al  0.500  0.500  0.500

---

Computed, not measured: a relaxed structure of Ac3ErAl2O9 at the PBE level of DFT.

M_tot ... 0.00 μB/cell
Energy relative to the elements, uncorrected ... -3.28 eV/atom
E ... -7.879 eV per atom

Cell: 5.656 5.656 7.064 Å, 90.00 90.00 120.00°
Element x y z (fractional)
Ac  0.000  0.000  0.000
Ac  0.333  0.667  0.692
Ac  0.667  0.333  0.308
Er  0.000  0.000  0.500
Al  0.333  0.667  0.164
Al  0.667  0.333  0.836
O  0.000  0.500  0.000
O  0.175  0.350  0.312
O  0.175  0.825  0.312
O  0.350  0.175  0.688
O  0.500  0.000  0.000
O  0.500  0.500  0.000
O  0.650  0.825  0.312
O  0.825  0.175  0.688
O  0.825  0.650  0.688

---

Computed, not measured: a relaxed structure of AcErAlPb at the PBE level of DFT.

M_tot ... 0.00 μB/cell
Energy of formation from the pure elements ... -0.273 eV per atom
E ... -4.304 eV per atom

Cell: 5.525 5.525 5.525 Å, 60.00 60.00 60.00°
Element x y z (fractional)
Ac  0.000  0.000  0.000
Er  0.500  0.500  0.500
Al  0.750  0.750  0.750
Pb  0.250  0.250  0.250

---

Computed, not measured: a relaxed structure of Ac2ErAl4Pd3 at the PBE level of DFT.

M_tot ... 0.00 μB/cell
Energy of formation from the pure elements ... -0.653 eV per atom
E ... -4.986 eV per atom

Cell: 4.384 4.384 11.867 Å, 90.00 90.00 90.00°
Element x y z (fractional)
Ac  0.000  0.500  0.229
Ac  0.500  0.000  0.771
Er  0.000  0.000  0.500
Al  0.000  0.000  0.000
Al  0.000  0.500  0.664
Al  0.500  0.000  0.336
Al  0.500  0.500  0.000
Pd  0.000  0.500  0.882
Pd  0.500  0.000  0.118
Pd  0.500  0.500  0.500

---

Computed, not measured: a relaxed structure of Ac2ErAl12Pd3 at the PBE level of DFT.

M_tot ... 0.00 μB/cell
Energy of formation from the pure elements ... 0.005 eV per atom
E ... -4.065 eV per atom

Cell: 8.918 8.918 8.918 Å, 56.59 56.59 56.59°
Element x y z (fractional)
Ac  0.102  0.102  0.102
Ac  0.898  0.898  0.898
Er  0.500  0.500  0.500
Al  0.016  0.656  0.656
Al  0.162  0.162  0.627
Al  0.162  0.627  0.162
Al  0.344  0.344  0.984
Al  0.344  0.984  0.344
Al  0.373  0.838  0.838
Al  0.627  0.162  0.162
Al  0.656  0.016  0.656
Al  0.656  0.656  0.016
Al  0.838  0.373  0.838
Al  0.838  0.838  0.373
Al  0.984  0.344  0.344
Pd  0.000  0.500  0.500
Pd  0.500  0.000  0.500
Pd  0.500  0.500  0.000

---

Computed, not measured: a relaxed structure of AcPrErAl at the PBE level of DFT.

M_tot ... 0.00 μB/cell
Energy of formation from the pure elements ... 0.071 eV per atom
E ... -4.227 eV per atom

Cell: 5.572 5.572 5.572 Å, 60.00 60.00 60.00°
Element x y z (fractional)
Ac  0.000  0.000  0.000
Pr  0.250  0.250  0.250
Er  0.750  0.750  0.750
Al  0.500  0.500  0.500

---

Computed, not measured: a relaxed structure of Ac2ErAlS6 at the PBE level of DFT.

M_tot ... 0.00 μB/cell
Energy relative to the elements, uncorrected ... -1.84 eV/atom
E ... -5.965 eV per atom

Cell: 6.885 6.885 7.049 Å, 119.09 119.09 59.74°
Element x y z (fractional)
Ac  0.245  0.245  0.225
Ac  0.755  0.755  0.775
Er  0.000  0.000  0.500
Al  0.500  0.500  0.000
S  0.202  0.684  0.179
S  0.263  0.263  0.663
S  0.316  0.798  0.821
S  0.684  0.202  0.179
S  0.737  0.737  0.337
S  0.798  0.316  0.821

---

Computed, not measured: a relaxed structure of AcErScAl at the PBE level of DFT.

M_tot ... 0.92 μB/cell
Energy of formation from the pure elements ... 0.101 eV per atom
E ... -4.585 eV per atom

Cell: 5.378 5.378 5.378 Å, 60.00 60.00 60.00°
Element x y z (fractional)
Ac  0.000  0.000  0.000
Er  0.750  0.750  0.750
Sc  0.250  0.250  0.250
Al  0.500  0.500  0.500

---

Look up the M_tot of the fifth one. 0.00 μB/cell

---

What is the M_tot in the first record? 0.00 μB/cell